(1)
Entry from the Alexandria database: an optimized crystal structure of KGaAs2O8 (PBE-GGA).

abc: 9.106 9.106 9.106
angles: 32.39 32.39 32.39
Positions (direct):
K 0.000 0.000 0.000
Ga 0.500 0.500 0.500
As 0.235 0.235 0.235
As 0.765 0.765 0.765
O 0.129 0.484 0.746
O 0.254 0.516 0.871
O 0.300 0.300 0.300
O 0.484 0.746 0.129
O 0.516 0.871 0.254
O 0.700 0.700 0.700
O 0.746 0.129 0.484
O 0.871 0.254 0.516

Calculated values
space-group type = R32, No. 155
calculated volume = 16.047 Å³ per atom
raw formation energy = -1.133 eV per atom

(2)
Entry from the Alexandria database: an optimized crystal structure of SiHg (PBE-GGA).

abc: 6.791 6.791 6.382
angles: 92.75 92.75 29.73
Positions (direct):
Si 0.000 0.000 0.000
Si 0.377 0.377 0.060
Si 0.538 0.538 0.268
Hg 0.040 0.040 0.609
Hg 0.737 0.737 0.238
Hg 0.770 0.770 0.709

Calculated values
space-group type = Cm, No. 8
calculated volume = 24.295 Å³ per atom
raw formation energy = 0.329 eV per atom

(3)
Entry from the Alexandria database: an optimized crystal structure of Tb4SbPbSe2 (PBE-GGA).

abc: 7.384 4.288 7.415
angles: 90.00 109.54 90.00
Positions (direct):
Tb 0.240 0.000 0.247
Tb 0.241 0.500 0.747
Tb 0.759 0.500 0.253
Tb 0.760 0.000 0.753
Sb 0.500 0.000 0.000
Pb 0.500 0.500 0.500
Se 0.000 0.000 0.500
Se 0.000 0.500 0.000

Calculated values
space-group type = P2/m, No. 10
calculated volume = 27.657 Å³ per atom
raw formation energy = -1.301 eV per atom

(4)
Entry from the Alexandria database: an optimized crystal structure of B5C7 (PBE-GGA).

abc: 4.533 4.533 8.125
angles: 117.51 117.51 31.89
Positions (direct):
B 0.000 0.000 0.000
B 0.350 0.350 0.656
B 0.501 0.501 0.153
B 0.539 0.539 0.624
B 0.799 0.799 0.779
C 0.022 0.022 0.483
C 0.171 0.171 0.973
C 0.180 0.180 0.444
C 0.333 0.333 0.181
C 0.673 0.673 0.869
C 0.686 0.686 0.341
C 0.841 0.841 0.297

Calculated values
space-group type = Cm, No. 8
calculated volume = 6.447 Å³ per atom
formation enthalpy at 0 K = 38.6 kJ per mole of atoms

(5)
Entry from the Alexandria database: an optimized crystal structure of Er3Ru2 (PBE-GGA).

abc: 5.913 5.913 9.760
angles: 90.00 90.00 138.15
Positions (direct):
Er 0.094 0.906 0.750
Er 0.353 0.647 0.563
Er 0.353 0.647 0.937
Er 0.647 0.353 0.063
Er 0.647 0.353 0.437
Er 0.906 0.094 0.250
Ru 0.000 0.000 0.000
Ru 0.000 0.000 0.500
Ru 0.194 0.806 0.250
Ru 0.806 0.194 0.750

Calculated values
space-group type = Cmcm, No. 63
calculated volume = 22.769 Å³ per atom
formation enthalpy at 0 K = -30.0 kJ per mole of atoms

(6)
Entry from the Alexandria database: an optimized crystal structure of SnO2F2 (PBE-GGA).

abc: 3.995 3.995 3.742
angles: 90.00 90.00 90.00
Positions (direct):
Sn 0.000 0.000 0.000
O 0.500 0.500 0.000
O 0.500 0.500 0.500
F 0.000 0.500 0.500
F 0.500 0.000 0.500

Calculated values
space-group type = P4/mmm, No. 123
calculated volume = 11.947 Å³ per atom
raw formation energy = -0.251 eV per atom

(7)
Entry from the Alexandria database: an optimized crystal structure of Ac4TlHg7 (PBE-GGA).

abc: 8.993 8.993 9.724
angles: 121.81 121.81 36.99
Positions (direct):
Ac 0.077 0.077 0.398
Ac 0.239 0.239 0.207
Ac 0.761 0.761 0.793
Ac 0.923 0.923 0.602
Tl 0.500 0.500 0.000
Hg 0.000 0.000 0.000
Hg 0.163 0.163 0.807
Hg 0.313 0.313 0.625
Hg 0.457 0.457 0.300
Hg 0.543 0.543 0.700
Hg 0.687 0.687 0.375
Hg 0.837 0.837 0.193

Calculated values
space-group type = C2/m, No. 12
calculated volume = 32.782 Å³ per atom
formation enthalpy at 0 K = -30.0 kJ per mole of atoms

Listing size of the total moment for the structures above in their given order: 2.0 0.0 0.0 0.0 0.0 0.0 0.0 μB/cell.
Listing total DFT energy (no corrections) for the structures above in their given order: -5.557 -2.533 -5.466 -7.763 -6.759 -3.783 -2.054 eV per atom.